# YLu2In | Alexandria via LeMat-Bulk | PBE | optimized geometry
# calculated formation energy: -0.071 eV/atom
# DOS at the Fermi energy: 25.22 states/eV per cell
data_YLu2In
_space_group_name_H-M_alt 'F m -3 m'
_space_group_IT_number 225
_space_group_name_Hall '-F 4 2 3'
_cell_length_a 7.616
_cell_length_b 7.616
_cell_length_c 7.616
_cell_angle_alpha 90.00
_cell_angle_beta 90.00
_cell_angle_gamma 90.00
loop_
_atom_site_label
_atom_site_fract_x
_atom_site_fract_y
_atom_site_fract_z
_atom_site_occupancy
Y1 0.000 0.000 0.000 1
Lu1 0.250 0.250 0.250 1
In1 0.000 0.000 0.500 1